P) 4
Lattice="0.000 3.162 3.162 3.162 0.000 3.162 3.162 3.162 0.000" Properties=species:S:1:pos:R:3 comment="ScCoSnOs PBE optimized geometry" volume_a3_per_cell=63.2 spacegroup=F-43m pbc="T T T"
Sc 0.000 0.000 0.000
Co 4.743 4.743 4.743
Sn 3.162 3.162 3.162
Os 1.581 1.581 1.581

Q) 4
Lattice="0.000 3.204 3.204 3.204 0.000 3.204 3.204 3.204 0.000" Properties=species:S:1:pos:R:3 comment="ScCoSnOs PBE optimized geometry" volume_a3_per_cell=65.8 spacegroup=F-43m pbc="T T T"
Sc 0.000 0.000 0.000
Co 3.204 3.204 3.204
Sn 1.602 1.602 1.602
Os 4.805 4.805 4.805

Going by the energies, P) is most stable and the next is 417 meV per atom up.

P) 4
Lattice="0.000 3.099 3.099 3.099 0.000 3.099 3.099 3.099 0.000" Properties=species:S:1:pos:R:3 comment="ScZnCoOs PBE optimized geometry" volume_a3_per_cell=59.5 spacegroup=F-43m pbc="T T T"
Sc 0.000 0.000 0.000
Zn 1.549 1.549 1.549
Co 3.099 3.099 3.099
Os 4.648 4.648 4.648

Q) 4
Lattice="0.000 3.073 3.073 3.073 0.000 3.073 3.073 3.073 0.000" Properties=species:S:1:pos:R:3 comment="ScZnCoOs PBE optimized geometry" volume_a3_per_cell=58.0 spacegroup=F-43m pbc="T T T"
Sc 0.000 0.000 0.000
Zn 3.073 3.073 3.073
Co 4.609 4.609 4.609
Os 1.536 1.536 1.536

Going by the energies, Q) is most stable and the next is 24 meV per atom up.

P) 4
Lattice="0.000 3.211 3.211 3.211 0.000 3.211 3.211 3.211 0.000" Properties=species:S:1:pos:R:3 comment="YCoSiOs PBE optimized geometry" volume_a3_per_cell=66.2 spacegroup=F-43m pbc="T T T"
Y 0.000 0.000 0.000
Co 3.211 3.211 3.211
Si 1.606 1.606 1.606
Os 4.817 4.817 4.817

Q) 4
Lattice="0.000 3.127 3.127 3.127 0.000 3.127 3.127 3.127 0.000" Properties=species:S:1:pos:R:3 comment="YCoSiOs PBE optimized geometry" volume_a3_per_cell=61.1 spacegroup=F-43m pbc="T T T"
Y 0.000 0.000 0.000
Co 4.690 4.690 4.690
Si 3.127 3.127 3.127
Os 1.563 1.563 1.563

Going by the energies, Q) is most stable and the next is 451 meV per atom up.

P) 3
Lattice="0.000 3.158 3.158 3.158 0.000 3.158 3.158 3.158 0.000" Properties=species:S:1:pos:R:3 comment="SmCoOs PBE optimized geometry" volume_a3_per_cell=63.0 spacegroup=F-43m pbc="T T T"
Sm 0.000 0.000 0.000
Co 4.736 4.736 4.736
Os 1.579 1.579 1.579

Q) 3
Lattice="0.000 3.135 3.135 3.135 0.000 3.135 3.135 3.135 0.000" Properties=species:S:1:pos:R:3 comment="SmCoOs PBE optimized geometry" volume_a3_per_cell=61.6 spacegroup=F-43m pbc="T T T"
Sm 0.000 0.000 0.000
Co 3.135 3.135 3.135
Os 4.702 4.702 4.702

Going by the energies, Q) is most stable and the next is 719 meV per atom up.

P) 4
Lattice="0.000 3.213 3.213 3.213 0.000 3.213 3.213 3.213 0.000" Properties=species:S:1:pos:R:3 comment="ZrCoSnOs PBE optimized geometry" volume_a3_per_cell=66.3 spacegroup=F-43m pbc="T T T"
Zr 0.000 0.000 0.000
Co 4.819 4.819 4.819
Sn 3.213 3.213 3.213
Os 1.606 1.606 1.606

Q) 4
Lattice="0.000 3.239 3.239 3.239 0.000 3.239 3.239 3.239 0.000" Properties=species:S:1:pos:R:3 comment="ZrCoSnOs PBE optimized geometry" volume_a3_per_cell=67.9 spacegroup=F-43m pbc="T T T"
Zr 0.000 0.000 0.000
Co 3.239 3.239 3.239
Sn 1.619 1.619 1.619
Os 4.858 4.858 4.858

Going by the energies, P) is most stable and the next is 464 meV per atom up.

P) 8
Lattice="2.715 -4.670 0.000 2.715 4.670 0.000 0.000 0.000 4.334" Properties=species:S:1:pos:R:3 comment="CoOs2W PBE optimized geometry" volume_a3_per_cell=109.9 spacegroup=Cmcm pbc="T T T"
Co 2.715 3.125 3.251
Co 2.715 -3.125 1.084
Os 1.333 0.772 3.251
Os 1.333 -0.772 1.084
Os 4.098 0.772 3.251
Os 4.098 -0.772 1.084
W 2.715 1.571 1.084
W 2.715 -1.571 3.251

Q) 8
Lattice="4.300 0.000 0.000 0.000 4.721 2.719 0.000 -4.721 2.719" Properties=species:S:1:pos:R:3 comment="CoOs2W PBE optimized geometry" volume_a3_per_cell=110.4 spacegroup=Ama2 pbc="T T T"
Co 1.075 -4.005 2.719
Co 3.225 4.005 2.719
Os 1.075 -1.548 1.282
Os 1.075 0.809 2.686
Os 3.225 1.548 1.282
Os 3.225 -0.809 2.686
W 1.075 -1.548 4.112
W 3.225 1.548 4.112

R) 8
Lattice="4.298 0.000 0.000 0.000 2.727 4.701 0.000 -2.727 4.701" Properties=species:S:1:pos:R:3 comment="CoOs2W PBE optimized geometry" volume_a3_per_cell=110.2 spacegroup=Amm2 pbc="T T T"
Co 0.000 -1.376 4.701
Co 0.000 1.376 4.701
Os 0.000 0.000 2.390
Os 2.149 -1.369 6.263
Os 2.149 1.369 6.263
Os 2.149 0.000 8.706
W 0.000 0.000 7.115
W 2.149 0.000 3.983

Going by the energies, P) is most stable and the next is 29 meV per atom up.

P) 8
Lattice="2.632 -4.553 0.000 2.632 4.553 0.000 0.000 0.000 4.212" Properties=species:S:1:pos:R:3 comment="Co2OsW PBE optimized geometry" volume_a3_per_cell=100.9 spacegroup=Cmcm pbc="T T T"
Co 1.298 0.731 1.053
Co 1.298 -0.731 3.159
Co 3.965 0.731 1.053
Co 3.965 -0.731 3.159
Os 2.632 3.088 1.053
Os 2.632 -3.088 3.159
W 2.632 1.489 3.159
W 2.632 -1.489 1.053

Q) 8
Lattice="4.223 0.000 0.000 0.000 4.583 2.636 0.000 -4.583 2.636" Properties=species:S:1:pos:R:3 comment="Co2OsW PBE optimized geometry" volume_a3_per_cell=102.0 spacegroup=Ama2 pbc="T T T"
Co 1.056 -1.503 1.224
Co 1.056 -3.853 2.636
Co 3.167 1.503 1.224
Co 3.167 3.853 2.636
Os 1.056 0.778 2.549
Os 3.167 -0.778 2.549
W 1.056 -1.520 3.963
W 3.167 1.520 3.963

Going by the energies, P) is most stable and the next is 27 meV per atom up.

P) 4
Lattice="0.000 3.227 3.227 3.227 0.000 3.227 3.227 3.227 0.000" Properties=species:S:1:pos:R:3 comment="YZnCoOs PBE optimized geometry" volume_a3_per_cell=67.2 spacegroup=F-43m pbc="T T T"
Y 0.000 0.000 0.000
Zn 1.614 1.614 1.614
Co 3.227 3.227 3.227
Os 4.841 4.841 4.841

Q) 4
Lattice="0.000 3.187 3.187 3.187 0.000 3.187 3.187 3.187 0.000" Properties=species:S:1:pos:R:3 comment="YZnCoOs PBE optimized geometry" volume_a3_per_cell=64.8 spacegroup=F-43m pbc="T T T"
Y 0.000 0.000 0.000
Zn 3.187 3.187 3.187
Co 4.781 4.781 4.781
Os 1.594 1.594 1.594

Going by the energies, Q) is most stable and the next is 33 meV per atom up.

P) 3
Lattice="0.000 3.163 3.163 3.163 0.000 3.163 3.163 3.163 0.000" Properties=species:S:1:pos:R:3 comment="PaCoPd PBE optimized geometry" volume_a3_per_cell=63.3 spacegroup=F-43m pbc="T T T"
Pa 0.000 0.000 0.000
Co 4.745 4.745 4.745
Pd 1.582 1.582 1.582

Q) 3
Lattice="0.000 3.059 3.059 3.059 0.000 3.059 3.059 3.059 0.000" Properties=species:S:1:pos:R:3 comment="PaCoPd PBE optimized geometry" volume_a3_per_cell=57.2 spacegroup=F-43m pbc="T T T"
Pa 0.000 0.000 0.000
Co 1.529 1.529 1.529
Pd 3.059 3.059 3.059

Going by the energies, Q) is most stable and the next is 408 meV per atom up.

P) 32
Lattice="6.758 0.000 0.000 0.000 2.582 0.000 -0.003 0.000 33.453" Properties=species:S:1:pos:R:3 comment="Co15Pb PBE optimized geometry" volume_a3_per_cell=583.7 spacegroup=P2_1/m pbc="T T T"
Co 0.824 0.645 8.056
Co 0.844 0.645 0.621
Co 0.847 0.645 3.097
Co 0.843 0.645 24.234
Co 0.843 0.645 26.612
Co 0.842 0.645 29.116
Co 0.843 0.645 31.590
Co 0.856 0.645 5.584
Co 2.512 1.936 25.396
Co 2.535 1.936 1.857
Co 2.533 1.936 4.357
Co 2.534 1.936 6.835
Co 2.534 1.936 30.353
Co 2.531 1.936 32.837
Co 2.544 1.936 27.871
Co 4.212 0.645 5.583
Co 4.224 0.645 0.617
Co 4.222 0.645 3.100
Co 4.222 0.645 26.619
Co 4.223 0.645 29.097
Co 4.221 0.645 31.596
Co 4.243 0.645 8.057
Co 5.900 1.936 27.869
Co 5.912 1.936 1.863
Co 5.914 1.936 4.338
Co 5.912 1.936 6.842
Co 5.913 1.936 9.220
Co 5.909 1.936 30.356
Co 5.911 1.936 32.832
Co 5.932 1.936 25.397
Pb 2.534 1.936 9.996
Pb 4.222 0.645 23.457

Q) 32
Lattice="4.954 0.000 0.000 0.000 3.488 0.000 -0.008 0.000 33.562" Properties=species:S:1:pos:R:3 comment="Co15Pb PBE optimized geometry" volume_a3_per_cell=580.0 spacegroup=P2_1/m pbc="T T T"
Co 0.609 0.872 5.558
Co 0.618 0.872 0.613
Co 0.619 0.872 3.081
Co 0.613 0.872 26.784
Co 0.613 0.872 29.237
Co 0.612 0.872 31.717
Co 0.622 0.872 8.019
Co 1.842 2.616 28.004
Co 1.858 2.616 1.846
Co 1.857 2.616 4.314
Co 1.857 2.616 6.780
Co 1.855 2.616 9.150
Co 1.851 2.616 30.481
Co 1.850 2.616 32.948
Co 1.857 2.616 25.544
Co 3.090 0.872 8.018
Co 3.097 0.872 0.614
Co 3.095 0.872 3.080
Co 3.091 0.872 24.411
Co 3.090 0.872 26.782
Co 3.089 0.872 29.248
Co 3.089 0.872 31.716
Co 3.104 0.872 5.558
Co 4.324 2.616 25.543
Co 4.334 2.616 1.844
Co 4.334 2.616 4.324
Co 4.333 2.616 6.778
Co 4.328 2.616 30.481
Co 4.328 2.616 32.949
Co 4.337 2.616 28.004
Pb 0.615 0.872 23.572
Pb 4.332 2.616 9.990

Going by the energies, Q) is most stable and the next is 77 meV per atom up.

P) 20
Lattice="2.647 0.000 0.000 0.000 3.354 0.000 0.000 0.000 34.076" Properties=species:S:1:pos:R:3 comment="Co9Pb PBE optimized geometry" volume_a3_per_cell=302.5 spacegroup=Pmmn pbc="T T T"
Co 0.662 0.838 0.578
Co 0.662 0.838 3.090
Co 0.662 0.838 5.578
Co 0.662 0.838 8.056
Co 0.662 0.838 10.500
Co 0.662 0.838 24.741
Co 0.662 0.838 27.237
Co 0.662 0.838 29.731
Co 0.662 0.838 32.199
Co 1.985 2.515 1.877
Co 1.985 2.515 4.345
Co 1.985 2.515 6.839
Co 1.985 2.515 9.335
Co 1.985 2.515 23.576
Co 1.985 2.515 26.020
Co 1.985 2.515 28.498
Co 1.985 2.515 30.986
Co 1.985 2.515 33.498
Pb 0.662 0.838 21.604
Pb 1.985 2.515 12.472

Q) 20
Lattice="2.710 0.000 0.000 0.000 2.710 0.000 0.000 0.000 41.829" Properties=species:S:1:pos:R:3 comment="Co9Pb PBE optimized geometry" volume_a3_per_cell=307.3 spacegroup=P4/nmm pbc="T T T"
Co 0.678 0.678 0.748
Co 0.678 0.678 3.741
Co 0.678 0.678 6.740
Co 0.678 0.678 9.762
Co 0.678 0.678 12.798
Co 0.678 0.678 30.506
Co 0.678 0.678 33.585
Co 0.678 0.678 36.588
Co 0.678 0.678 39.581
Co 2.033 2.033 2.248
Co 2.033 2.033 5.241
Co 2.033 2.033 8.244
Co 2.033 2.033 11.323
Co 2.033 2.033 29.031
Co 2.033 2.033 32.067
Co 2.033 2.033 35.089
Co 2.033 2.033 38.088
Co 2.033 2.033 41.081
Pb 0.678 0.678 26.806
Pb 2.033 2.033 15.023

Going by the energies, P) is most stable and the next is 70 meV per atom up.